[1]
VASP calculation (PBE) on Dy4GePd after structural relaxation.

Lattice parameters (Å, degrees): 5.2018 6.2210 10.5754 90.00 104.24 90.00
Closest atoms and distances in Å follow each position.
Atoms (fractional coordinates):
1 Dy 0.1146 0.8096 0.2292  2 Pd 2.70
2 Dy 0.2932 0.0644 0.5863  4 Dy 3.03-3.26, 1 Pd 3.09, 3 Ge 3.16-3.18
3 Dy 0.3027 0.5777 0.6054  1 Pd 2.89, 2 Dy 3.03-3.20, 2 Ge 3.11
4 Dy 0.6973 0.0777 0.3946  1 Pd 2.89, 2 Dy 3.03-3.20, 2 Ge 3.11
5 Dy 0.7068 0.5644 0.4137  4 Dy 3.03-3.26, 1 Pd 3.09, 3 Ge 3.16-3.18
6 Dy 0.8854 0.3096 0.7708  2 Pd 2.70
7 Dy 0.4446 0.8337 0.8892  1 Pd 2.75
8 Dy 0.5554 0.3337 0.1108  1 Pd 2.75
9 Ge 0.1589 0.3213 0.3179  10 Dy 3.11-3.36
10 Ge 0.8411 0.8213 0.6821  10 Dy 3.11-3.36
11 Pd 0.4212 0.3268 0.8425  4 Dy 2.70-2.89
12 Pd 0.5788 0.8268 0.1575  4 Dy 2.70-2.89

Density of states at the Fermi level (states/eV/atom): 1.110
E_tot (eV per cell): -61.29
Space-group type: Cmc2_1
Volume (Å³/atom): 27.6

---

[2]
VASP calculation (PBE) on BeNi after structural relaxation.

Lattice parameters (Å, degrees): 4.4752 4.4752 4.4752 146.65 131.74 59.93
Closest atoms and distances in Å follow each position.
Atoms (fractional coordinates):
1 Be 0.6206 0.3706 0.7500  6 Ni 2.24-2.29, 2 Be 2.27
2 Be 0.3794 0.6294 0.2500  6 Ni 2.24-2.29, 2 Be 2.27
3 Ni 0.8643 0.1143 0.2500  6 Be 2.24-2.29, 2 Ni 2.46
4 Ni 0.1357 0.8857 0.7500  6 Be 2.24-2.29, 2 Ni 2.46

Density of states at the Fermi level (states/eV/atom): 0.419
E_tot (eV per cell): -20.35
Space-group type: Imma
Volume (Å³/atom): 9.1

---

[3]
VASP calculation (PBE) on TcTeP2 after structural relaxation.

Lattice parameters (Å, degrees): 4.7109 4.7109 4.7109 125.69 125.69 80.40
Closest atoms and distances in Å follow each position.
Atoms (fractional coordinates):
1 Tc 0.5000 0.5000 0.0000  4 Te 2.80, 8 P 2.80-3.04
2 P 0.0000 0.0000 0.0000  4 Te 2.80, 4 P 2.80, 4 Tc 3.04
3 P 0.2500 0.7500 0.5000  4 Tc 2.80, 4 P 2.80, 4 Te 3.04
4 Te 0.7500 0.2500 0.5000  8 P 2.80-3.04, 4 Tc 2.80

Density of states at the Fermi level (states/eV/atom): 0.783
E_tot (eV per cell): -21.78
Formation energy from raw total energies (meV per atom): 638
Space-group type: I-4m2
Volume (Å³/atom): 16.6

---

[4]
VASP calculation (PBE) on Zn2CoAs after structural relaxation.

Lattice parameters (Å, degrees): 3.3986 3.4075 4.9576 90.00 90.00 90.00
Closest atoms and distances in Å follow each position.
Atoms (fractional coordinates):
1 Zn 0.0000 0.0000 0.9894  2 Zn 2.37-2.58
2 Zn 0.0000 0.0000 0.5106  2 Zn 2.37-2.58
3 As 0.5000 0.5000 0.2500  2 Co 2.48, 8 Zn 2.73
4 Co 0.5000 0.5000 0.7500  2 As 2.48, 8 Zn 2.68

Density of states at the Fermi level (states/eV/atom): 0.757
E_tot (eV per cell): -13.95
Space-group type: P4/mmm
Volume (Å³/atom): 14.4

---

[5]
VASP calculation (PBE) on Tb12Pr5In2 after structural relaxation.

Lattice parameters (Å, degrees): 9.3574 12.1886 8.4932 131.93 90.00 112.57
Closest atoms and distances in Å follow each position.
Atoms (fractional coordinates):
1 In 0.3223 0.0000 0.0000  8 Tb 3.20-3.49, 1 In 3.33, 2 Pr 3.45
2 In 0.6777 0.0000 0.0000  8 Tb 3.20-3.49, 1 In 3.33, 2 Pr 3.45
3 Tb 0.3271 0.2868 0.0513  1 In 3.20, 3 Tb 3.38-3.58
4 Tb 0.4337 0.2528 0.5818  5 Tb 3.33-3.63, 3 Pr 3.43-3.59, 1 In 3.49
5 Tb 0.9597 0.2868 0.0513  1 In 3.20, 3 Tb 3.38-3.58
6 Tb 0.5663 0.7472 0.4182  5 Tb 3.33-3.63, 3 Pr 3.43-3.59, 1 In 3.49
7 Tb 0.8191 0.2528 0.5818  5 Tb 3.33-3.63, 3 Pr 3.43-3.59, 1 In 3.49
8 Tb 0.9232 0.8464 0.7278  3 Tb 3.19-3.49, 1 Pr 3.40, 2 In 3.41
9 Tb 0.4463 0.8926 0.2188  2 In 3.31, 7 Tb 3.33-3.58, 2 Pr 3.38-3.53
10 Tb 0.0403 0.7132 0.9487  1 In 3.20, 3 Tb 3.38-3.58
11 Tb 0.6729 0.7132 0.9487  1 In 3.20, 3 Tb 3.38-3.58
12 Tb 0.5537 0.1074 0.7812  2 In 3.31, 7 Tb 3.33-3.58, 2 Pr 3.38-3.53
13 Tb 0.0768 0.1536 0.2722  3 Tb 3.19-3.49, 1 Pr 3.40, 2 In 3.41
14 Tb 0.1809 0.7472 0.4182  5 Tb 3.33-3.63, 3 Pr 3.43-3.59, 1 In 3.49
15 Pr 0.2333 0.4666 0.8894  8 Tb 3.38-3.63, 2 Pr 3.61-3.66
16 Pr 0.3051 0.6102 0.6226  2 In 3.45, 8 Tb 3.53-3.77, 1 Pr 3.61
17 Pr 0.6949 0.3898 0.3774  2 In 3.45, 8 Tb 3.53-3.77, 1 Pr 3.61
18 Pr 0.7667 0.5334 0.1106  8 Tb 3.38-3.63, 2 Pr 3.61-3.66
19 Pr 0.0000 0.0000 0.5000  10 Tb 3.40-3.74, 2 Pr 3.66

Density of states at the Fermi level (states/eV/atom): 1.328
E_tot (eV per cell): -85.25
Space-group type: C2/m
Volume (Å³/atom): 32.5

---

[6]
VASP calculation (PBE) on ScNb2Ga after structural relaxation.

Lattice parameters (Å, degrees): 7.6725 7.6725 6.0533 50.67 50.67 90.00
Closest atoms and distances in Å follow each position.
Atoms (fractional coordinates):
1 Ga 0.7500 0.2500 0.5000  4 Nb 2.63, 2 Sc 2.68
2 Ga 0.0000 0.0000 0.0000  4 Nb 2.63, 2 Sc 2.68
3 Sc 0.5000 0.5000 0.0000  2 Ga 2.68, 4 Nb 2.98
4 Sc 0.2500 0.7500 0.5000  2 Ga 2.68, 4 Nb 2.98
5 Nb 0.6582 0.1250 0.2500  2 Ga 2.63, 2 Nb 2.73
6 Nb 0.0918 0.6250 0.2500  2 Ga 2.63, 2 Nb 2.73
7 Nb 0.3750 0.3418 0.7500  2 Ga 2.63, 2 Nb 2.73
8 Nb 0.8750 0.9082 0.7500  2 Ga 2.63, 2 Nb 2.73

Density of states at the Fermi level (states/eV/atom): 0.638
E_tot (eV per cell): -56.90
Space-group type: I-42d
Volume (Å³/atom): 19.8

---

[7]
VASP calculation (PBE) on La4RuBr5 after structural relaxation.

Lattice parameters (Å, degrees): 4.2809 9.0903 9.7018 105.27 102.75 90.00
Closest atoms and distances in Å follow each position.
Atoms (fractional coordinates):
1 La 0.0011 0.2249 0.0022  2 Ru 2.96, 4 Br 3.07-3.30
2 La 0.9989 0.7751 0.9978  2 Ru 2.96, 4 Br 3.07-3.30
3 La 0.3542 0.9159 0.7085  1 Ru 2.66
4 La 0.6458 0.0841 0.2915  1 Ru 2.66
5 Br 0.8307 0.6615 0.6615  3 La 3.07-3.09
6 Br 0.1693 0.3385 0.3385  3 La 3.07-3.09
7 Br 0.1715 0.8480 0.3429  4 La 3.15-3.35
8 Br 0.8285 0.1520 0.6571  4 La 3.15-3.35
9 Br 0.5000 0.5000 0.0000  4 La 3.30
10 Ru 0.5000 0.0000 0.0000  6 La 2.66-2.96

Density of states at the Fermi level (states/eV/atom): 0.629
E_tot (eV per cell): -52.25
Formation energy from raw total energies (meV per atom): -1490
Space-group type: C2/m
Volume (Å³/atom): 35.5

---

[8]
VASP calculation (PBE) on Pa2SiN after structural relaxation.

Lattice parameters (Å, degrees): 3.0900 3.0900 7.1257 90.00 90.00 90.00
Closest atoms and distances in Å follow each position.
Atoms (fractional coordinates):
1 Pa 0.0000 0.0000 0.2131  4 N 2.66
2 Pa 0.0000 0.0000 0.7869  4 N 2.66
3 Si 0.5000 0.5000 0.5000  8 Pa 2.99, 4 Si 3.09
4 N 0.5000 0.5000 0.0000  8 Pa 2.66

Density of states at the Fermi level (states/eV/atom): 1.741
Relative energy among the computed polymorphs (eV/atom): 0.414
E_tot (eV per cell): -34.52
Formation energy from raw total energies (meV per atom): -444
Space-group type: P4/mmm
Volume (Å³/atom): 17.0

---

[9]
VASP calculation (PBE) on LaTbTmHg after structural relaxation.

Lattice parameters (Å, degrees): 3.6642 3.6642 8.8791 90.00 90.00 90.00
Closest atoms and distances in Å follow each position.
Atoms (fractional coordinates):
1 Tb 0.5000 0.5000 0.7849  4 Hg 3.25
2 La 0.0000 0.0000 0.0752  4 Tm 3.62, 4 Tb 3.65, 4 La 3.66
3 Tm 0.5000 0.5000 0.3605  4 Hg 3.16
4 Hg 0.0000 0.0000 0.5641  4 Tm 3.16, 4 Tb 3.25

Density of states at the Fermi level (states/eV/atom): 1.506
Relative energy among the computed polymorphs (eV/atom): 0.000
E_tot (eV per cell): -15.23
Space-group type: P4mm
Volume (Å³/atom): 29.8

---

[10]
VASP calculation (PBE) on Ho2TmCo after structural relaxation.

Lattice parameters (Å, degrees): 3.6308 3.6308 9.5108 79.00 79.00 60.00
Closest atoms and distances in Å follow each position.
Atoms (fractional coordinates):
1 Co 0.0000 0.0000 0.0000  6 Ho 2.65
2 Tm 0.5000 0.5000 0.5000  6 Tm 3.63, 6 Ho 3.68
3 Ho 0.7246 0.7246 0.8261  3 Co 2.65
4 Ho 0.2754 0.2754 0.1739  3 Co 2.65

Density of states at the Fermi level (states/eV/atom): 1.310
Relative energy among the computed polymorphs (eV/atom): 0.207
E_tot (eV per cell): -20.63
Space-group type: R-3m
Volume (Å³/atom): 26.5

---

[11]
VASP calculation (PBE) on CaRe2RuW after structural relaxation.

Lattice parameters (Å, degrees): 4.7074 5.1542 4.7074 90.00 90.00 90.00
Closest atoms and distances in Å follow each position.
Atoms (fractional coordinates):
1 W 0.0000 0.0000 0.0000  4 Re 2.35, 2 Ca 2.58
2 Ca 0.0000 0.5000 0.0000  2 W 2.58
3 Re 0.0000 0.0000 0.5000  2 W 2.35
4 Re 0.5000 0.0000 0.0000  2 W 2.35
5 Ru 0.5000 0.5000 0.5000  4 Ca 3.33, 8 Re 3.49

Density of states at the Fermi level (states/eV/atom): 1.286
E_tot (eV per cell): -37.97
Space-group type: P4/mmm
Volume (Å³/atom): 22.8

---

[12]
VASP calculation (PBE) on CaAg2Rh after structural relaxation.

Lattice parameters (Å, degrees): 4.7611 4.7611 4.7611 60.00 60.00 60.00
Closest atoms and distances in Å follow each position.
Atoms (fractional coordinates):
1 Ag 0.0000 0.0000 0.0000  4 Rh 2.92, 4 Ag 2.92
2 Ag 0.2500 0.2500 0.2500  4 Ag 2.92, 4 Ca 2.92
3 Ca 0.5000 0.5000 0.5000  4 Rh 2.92, 4 Ag 2.92
4 Rh 0.7500 0.7500 0.7500  4 Ca 2.92, 4 Ag 2.92

Density of states at the Fermi level (states/eV/atom): 0.504
Relative energy among the computed polymorphs (eV/atom): 0.072
E_tot (eV per cell): -15.37
Space-group type: F-43m
Volume (Å³/atom): 19.1